# 1
ZrPbAu2 | PBE | optimized geometry

Summary:
The value obtained for the mass density is 13.6 g cm⁻³. As for the symmetry: I4/mmm (139). The value obtained for the energy relative to the elements is -0.2482 eV/atom.

Unit cell a=5.342 b=5.342 c=5.342 alpha=131.18 beta=131.20 gamma=71.51
Fractional positions:
Au  0.000  0.000  0.000
Au  0.500  0.500  0.000
Pb  0.750  0.250  0.500
Zr  0.250  0.750  0.500

---

# 2
VAg2Cl2 | PBE | optimized geometry

Summary:
The polymorph energy (0 for the lowest one) comes out at 0.0 kJ/mol of formula units. The value obtained for the mass density is 5.1 g cm⁻³. For the uncorrected formation energy, the calculation gives -34 kJ/mol of formula units. As for the symmetry: P4/mbm (127).

Unit cell a=6.304 b=6.304 c=5.493 alpha=90.00 beta=90.00 gamma=90.00
Fractional positions:
Ag  0.764  0.736  0.500
V  0.500  0.500  0.000
Ag  0.264  0.764  0.500
Ag  0.236  0.264  0.500
Ag  0.736  0.236  0.500
Cl  0.170  0.330  0.000
Cl  0.830  0.670  0.000
Cl  0.670  0.170  0.000
Cl  0.330  0.830  0.000
V  0.000  0.000  0.000

---

# 3
Nd3SnHg5 | PBE | optimized geometry

Summary:
The value obtained for the mass density is 10.8 g cm⁻³. As for the symmetry: P6_3/mcm (193). The value obtained for the energy relative to the elements is -0.4780 eV/atom.

Unit cell a=6.525 b=9.191 c=9.191 alpha=120.00 beta=90.00 gamma=90.00
Fractional positions:
Hg  0.000  0.333  0.667
Hg  0.750  0.346  0.000
Hg  0.000  0.667  0.333
Hg  0.750  0.654  0.654
Hg  0.250  0.000  0.654
Hg  0.250  0.346  0.346
Nd  0.250  0.676  0.676
Nd  0.250  0.000  0.324
Nd  0.750  0.324  0.324
Nd  0.250  0.324  0.000
Hg  0.250  0.654  0.000
Hg  0.750  0.000  0.346
Nd  0.750  0.676  0.000
Sn  0.000  0.000  0.000
Sn  0.500  0.000  0.000
Hg  0.500  0.333  0.667
Nd  0.750  0.000  0.676
Hg  0.500  0.667  0.333

---

# 4
Th4BiSb3 | PBE | optimized geometry

Summary:
The value obtained for the mass density is 9.5 g cm⁻³. For the uncorrected formation energy, the calculation gives -632 kJ/mol of formula units. As for the symmetry: Cmmm (65).

Unit cell a=4.507 b=7.858 c=7.858 alpha=70.79 beta=90.00 gamma=90.00
Fractional positions:
Sb  0.000  0.000  0.000
Sb  0.500  0.000  0.500
Sb  0.000  0.500  0.500
Th  0.000  0.242  0.258
Bi  0.500  0.500  0.000
Th  0.500  0.246  0.746
Th  0.500  0.754  0.254
Th  0.000  0.758  0.742

---

# 5
NaLaLuIn | PBE | optimized geometry

Summary:
The value obtained for the mass density is 6.4 g cm⁻³. As for the symmetry: F-43m (216). The value obtained for the energy relative to the elements is -0.1245 eV/atom.

Unit cell a=5.487 b=5.487 c=5.487 alpha=60.00 beta=60.00 gamma=60.00
Fractional positions:
In  0.500  0.500  0.500
Na  0.000  0.000  0.000
La  0.250  0.250  0.250
Lu  0.750  0.750  0.750

---

# 6
AcPm14Dy | PBE | optimized geometry

Summary:
The value obtained for the mass density is 7.2 g cm⁻³. As for the symmetry: Amm2 (38). The value obtained for the energy relative to the elements is 0.0372 eV/atom.

Unit cell a=7.401 b=7.401 c=11.854 alpha=90.00 beta=90.00 gamma=120.08
Fractional positions:
Pm  0.169  0.335  0.000
Pm  0.334  0.169  0.748
Dy  0.666  0.334  0.000
Pm  0.831  0.666  0.748
Pm  0.334  0.666  0.746
Pm  0.667  0.333  0.500
Pm  0.334  0.666  0.254
Pm  0.667  0.834  0.500
Pm  0.166  0.834  0.500
Pm  0.833  0.167  0.248
Pm  0.833  0.167  0.752
Pm  0.831  0.666  0.252
Pm  0.166  0.333  0.500
Ac  0.168  0.832  0.000
Pm  0.334  0.169  0.252
Pm  0.665  0.831  0.000

---

# 7
Ce2Er5Bi3C2 | PBE | optimized geometry

Summary:
The value obtained for the mass density is 9.5 g cm⁻³. As for the symmetry: I4/mmm (139). The value obtained for the energy relative to the elements is -0.6037 eV/atom.

Unit cell a=4.858 b=4.858 c=13.468 alpha=100.39 beta=100.39 gamma=90.00
Fractional positions:
Ce  0.691  0.691  0.383
C  0.595  0.595  0.190
Bi  0.821  0.821  0.643
Er  0.500  0.500  0.000
Er  0.592  0.092  0.184
Bi  0.179  0.179  0.357
C  0.405  0.405  0.810
Er  0.092  0.592  0.184
Bi  0.000  0.000  0.000
Er  0.908  0.408  0.816
Ce  0.309  0.309  0.617
Er  0.408  0.908  0.816

---

# 8
CaPuPbO6 | PBE | optimized geometry

Summary:
The value obtained for the mass density is 6.8 g cm⁻³. For the uncorrected formation energy, the calculation gives -1765 kJ/mol of formula units. As for the symmetry: P-31c (163).

Unit cell a=5.982 b=5.982 c=9.280 alpha=90.00 beta=90.00 gamma=120.00
Fractional positions:
O  0.382  0.322  0.368
Pb  0.333  0.667  0.250
O  0.322  0.940  0.632
Pb  0.667  0.333  0.750
Pu  0.667  0.333  0.250
O  0.322  0.382  0.868
O  0.618  0.678  0.632
Pu  0.333  0.667  0.750
O  0.940  0.322  0.132
O  0.678  0.060  0.368
Ca  0.000  0.000  0.500
O  0.618  0.940  0.868
O  0.940  0.618  0.368
O  0.060  0.382  0.632
Ca  0.000  0.000  0.000
O  0.060  0.678  0.868
O  0.382  0.060  0.132
O  0.678  0.618  0.132

---

# 9
TaVSbBr2 | PBE | optimized geometry

Summary:
The value obtained for the mass density is 7.1 g cm⁻³. For the uncorrected formation energy, the calculation gives 352 kJ/mol of formula units. As for the symmetry: P4/mmm (123).

Unit cell a=4.626 b=5.588 c=4.626 alpha=90.00 beta=90.00 gamma=90.00
Fractional positions:
V  0.000  0.000  0.000
Br  0.000  0.000  0.500
Ta  0.000  0.500  0.000
Br  0.500  0.000  0.000
Sb  0.500  0.500  0.500

---

# 10
BaRu4Pt | PBE | optimized geometry

Summary:
The value obtained for the mass density is 11.2 g cm⁻³. As for the symmetry: F-43m (216). The value obtained for the energy relative to the elements is 0.7454 eV/atom.

Unit cell a=5.360 b=5.360 c=5.360 alpha=60.00 beta=60.00 gamma=60.00
Fractional positions:
Ru  0.879  0.374  0.374
Ba  0.750  0.750  0.750
Ru  0.374  0.374  0.374
Ru  0.374  0.879  0.374
Ru  0.374  0.374  0.879
Pt  0.000  0.000  0.000

---

# 11
CuPtBr2 | PBE | optimized geometry

Summary:
The polymorph energy (0 for the lowest one) comes out at 90.5 kJ/mol of formula units. The value obtained for the mass density is 7.1 g cm⁻³. For the uncorrected formation energy, the calculation gives 107 kJ/mol of formula units. As for the symmetry: C2/m (12).

Unit cell a=5.204 b=5.204 c=5.139 alpha=59.42 beta=59.42 gamma=88.71
Fractional positions:
Br  0.000  0.000  0.000
Pt  0.000  0.500  0.500
Cu  0.500  0.000  0.500
Br  0.500  0.500  0.000

---

# 12
MnPSe2 | PBE | optimized geometry

Summary:
The value obtained for the mass density is 4.6 g cm⁻³. For the uncorrected formation energy, the calculation gives 11 kJ/mol of formula units. As for the symmetry: Imm2 (44).

Unit cell a=7.724 b=7.724 c=7.724 alpha=154.84 beta=152.98 gamma=37.26
Fractional positions:
Mn  0.567  0.567  0.000
Se  0.997  0.997  0.000
Se  0.236  0.736  0.500
P  0.701  0.201  0.500